Below is an optimized crystal structure of ZrPa2PdN5, with properties calculated at the PBE-GGA level.

a b c (Å): 3.3927 13.0065 10.5586
angles (deg): 90.00 90.00 90.00
Closest atoms and distances in Å follow each position.
Space group Cmc2_1 (No. 36)
Symmetry-distinct sites (fractional):
Zr (0.0000, 0.2015, 0.0000) (multiplicity 4)  4 N 2.12-2.26
Pa (0.0000, 0.1010, 0.6676) (multiplicity 4)  4 N 2.20-2.45
Pa (0.0000, 0.1440, 0.2913) (multiplicity 4)  6 N 2.34-2.46
Pd (0.0000, 0.4732, 0.4441) (multiplicity 4)  3 N 2.04-2.24
N (0.0000, 0.0548, 0.0867) (multiplicity 4)  1 Zr 2.12, 1 Pa 2.20, 2 Pd 2.30
N (0.0000, 0.2741, 0.6561) (multiplicity 4)  3 Pa 2.25-2.46, 2 Zr 2.39
N (0.0000, 0.3151, 0.3598) (multiplicity 4)  1 Pd 2.24, 2 Zr 2.26, 1 Pa 2.34
N (0.0000, 0.3671, 0.9877) (multiplicity 4)  1 Pd 2.13, 1 Zr 2.16
N (0.0000, 0.4858, 0.7573) (multiplicity 4)  1 Pd 2.04

Crystal system: orthorhombic
Uncorrected formation energy in meV/atom: -1083


Below is an optimized crystal structure of SrTcW2, with properties calculated at the PBE-GGA level.

a b c (Å): 5.6722 9.9469 2.7273
angles (deg): 90.00 107.52 90.00
Closest atoms and distances in Å follow each position.
Space group C2/m (No. 12)
Symmetry-distinct sites (fractional):
Sr (0.0000, 0.0000, 0.0000) (multiplicity 2)  2 Sr 2.73, 2 Tc 2.84, 4 W 2.98
Tc (0.0000, 0.5000, 0.0000) (multiplicity 2)  2 Tc 2.73, 2 Sr 2.84, 4 W 2.98
W (0.2500, 0.2500, 0.5000) (multiplicity 4)  4 W 2.73-2.84, 2 Tc 2.98, 2 Sr 2.98

Formation enthalpy at 0 K in eV/atom: 1.07
Crystal system: monoclinic
Energy above the most stable polymorph in this dataset in eV/atom: 0.395


no.,M_tot (μB per formula unit)
1,0.0
2,0.0